1.
! NaV6O15 (meta-GGA SCAN, PBEsol geometry); values from VASP
! Formation energy (no corrections) in eV per atom: -2.515
! Total DFT energy (no corrections) in eV per cell: -257.940
! Theoretical density in g/cm³: 3.581
&SYSTEM
  ibrav = 0, nat = 22, ntyp = 3
/
ATOMIC_SPECIES
O 16.00 O.upf
V 50.94 V.upf
Na 22.99 Na.upf
CELL_PARAMETERS angstrom
3.5823 0.0000 0.0000
-1.7911 7.7235 0.0591
0.0000 -0.7982 9.5238
ATOMIC_POSITIONS crystal
O 0.5039 0.0078 0.5224
O 0.7976 0.5952 0.0720
O 0.9940 0.9879 0.0082
O 0.7735 0.5469 0.8071
O 0.3954 0.7907 0.2322
V 0.6031 0.2062 0.5841
O 0.6189 0.2379 0.0794
V 0.2112 0.4224 0.4118
V 0.3165 0.6330 0.1130
V 0.0891 0.1781 0.1150
O 0.3749 0.7499 0.9341
O 0.3105 0.6210 0.4737
O 0.1859 0.3718 0.9542
O 0.1391 0.2781 0.5787
Na 0.9253 0.8505 0.4137
O 0.6017 0.2033 0.7740
O 0.0587 0.1174 0.2741
O 0.2226 0.4452 0.2290
V 0.6865 0.3730 0.9028
V 0.8965 0.7930 0.8828
O 0.9364 0.8727 0.7352
O 0.6767 0.3535 0.4277

***

2.
! HfReSi2 (meta-GGA SCAN, PBEsol geometry); values from VASP
! Formation energy (no corrections) in eV per atom: -0.622
! Total DFT energy (no corrections) in eV per cell: -1875.498
! Theoretical density in g/cm³: 11.505
&SYSTEM
  ibrav = 0, nat = 48, ntyp = 3
/
ATOMIC_SPECIES
Si 28.09 Si.upf
Re 186.21 Re.upf
Hf 178.49 Hf.upf
CELL_PARAMETERS angstrom
8.0457 0.0000 0.0000
0.0000 9.0808 0.0000
0.0000 0.0000 9.9770
ATOMIC_POSITIONS crystal
Si 0.0000 0.6315 0.3986
Re 0.7553 0.5000 0.5000
Si 0.5000 0.9647 0.6155
Si 0.0000 0.9662 0.6145
Si 0.5000 0.6257 0.4032
Si 0.3540 0.8337 0.1808
Re 0.2447 0.0000 0.0000
Hf 0.0000 0.8295 0.1794
Si 0.0000 0.1315 0.1014
Re 0.7513 0.4144 0.7611
Hf 0.2463 0.6744 0.9517
Re 0.2447 0.5000 0.5000
Si 0.6460 0.8337 0.1808
Hf 0.7537 0.3256 0.0483
Re 0.7513 0.5856 0.2389
Si 0.3540 0.6663 0.6808
Si 0.5000 0.3743 0.5968
Hf 0.7537 0.6744 0.9517
Re 0.2487 0.5856 0.2389
Re 0.7513 0.9144 0.7389
Si 0.6460 0.3337 0.3192
Si 0.0000 0.5338 0.1145
Hf 0.2463 0.8256 0.4517
Hf 0.2463 0.1744 0.5483
Si 0.0000 0.3685 0.6014
Re 0.2487 0.9144 0.7389
Re 0.7513 0.0856 0.2611
Si 0.0000 0.0338 0.3855
Si 0.3540 0.3337 0.3192
Hf 0.7537 0.1744 0.5483
Si 0.5000 0.1257 0.0968
Re 0.2487 0.4144 0.7611
Si 0.5000 0.8743 0.9032
Si 0.6460 0.1663 0.8192
Re 0.2487 0.0856 0.2611
Si 0.0000 0.8685 0.8986
Si 0.5000 0.5353 0.1155
Hf 0.0000 0.3295 0.3206
Hf 0.2463 0.3256 0.0483
Hf 0.0000 0.6705 0.6794
Si 0.5000 0.0353 0.3845
Si 0.5000 0.4647 0.8845
Re 0.7553 0.0000 0.0000
Hf 0.7537 0.8256 0.4517
Si 0.0000 0.4662 0.8855
Si 0.3540 0.1663 0.8192
Si 0.6460 0.6663 0.6808
Hf 0.0000 0.1705 0.8206

***

3.
! CoRh (meta-GGA SCAN, PBEsol geometry); values from VASP
! Formation enthalpy at 0 K in meV/atom: 59
! Total DFT energy (no corrections) in eV per cell: -152.871
! Theoretical density in g/cm³: 11.078
&SYSTEM
  ibrav = 0, nat = 6, ntyp = 2
/
ATOMIC_SPECIES
Co 58.93 Co.upf
Rh 102.91 Rh.upf
CELL_PARAMETERS angstrom
2.5840 0.0000 0.0000
0.0000 3.8496 0.0000
-1.2920 0.0000 7.3158
ATOMIC_POSITIONS crystal
Co 0.9523 0.5000 0.9045
Rh 0.7725 0.5000 0.5450
Co 0.1980 0.0000 0.3960
Rh 0.3680 0.0000 0.7360
Co 0.1155 0.5000 0.2310
Rh 0.5442 0.0000 0.0884

***

4.
! KMgTiC2 (meta-GGA SCAN, PBEsol geometry); values from VASP
! Formation enthalpy at 0 K in meV/atom: 2153
! Total DFT energy (no corrections) in eV per cell: -38.768
! Theoretical density in g/cm³: 2.586
&SYSTEM
  ibrav = 0, nat = 5, ntyp = 4
/
ATOMIC_SPECIES
Mg 24.30 Mg.upf
K 39.10 K.upf
C 12.01 C.upf
Ti 47.87 Ti.upf
CELL_PARAMETERS angstrom
4.2741 0.0000 0.0000
0.0000 4.2741 0.0000
0.0000 0.0000 4.7561
ATOMIC_POSITIONS crystal
Mg 0.0000 0.0000 0.0000
K 0.5000 0.5000 0.5000
C 0.5000 0.0000 0.0000
C 0.0000 0.5000 0.0000
Ti 0.0000 0.0000 0.5000